[1]
DFT (GGA-PBE) results for a relaxed structure of Sm3AlZn4.

energy: -2.998 eV/atom

The structure in POSCAR format:
```
Sm3AlZn4
1.0
-2.349 2.477 8.471
2.349 -2.477 8.471
2.349 2.477 -8.471
Sm Al Zn
3 1 4
direct
0.000 0.000 0.000
0.293 0.793 0.500
0.707 0.207 0.500
0.500 0.500 0.000
0.114 0.374 0.739
0.365 0.626 0.739
0.635 0.374 0.261
0.886 0.626 0.261
```

---

[2]
DFT (GGA-PBE) results for a relaxed structure of ZnCuSb2Pd.

E_form (uncorrected): 0.63 eV/atom

The structure in POSCAR format:
```
ZnCuSb2Pd
1.0
5.108 0.000 0.000
0.000 5.108 0.000
0.000 0.000 4.446
Zn Cu Sb Pd
1 1 2 1
direct
0.000 0.000 0.000
0.000 0.000 0.500
0.000 0.500 0.000
0.500 0.000 0.000
0.500 0.500 0.500
```

---

Number 1: magnetic moment 0.0 Bohr magnetons per cell. Number 2: magnetic moment 0.0 Bohr magnetons per cell.